*i*
The following is a DFT calculation (PBE+U) of crystalline FePb3O at its relaxed geometry.

```
FePb3O
1.0
4.977 0.000 0.000
0.000 4.977 0.000
0.000 0.000 4.977
Fe Pb O
1 3 1
Direct
0.000 0.000 0.000
0.000 0.500 0.500
0.500 0.000 0.500
0.500 0.500 0.000
0.500 0.500 0.500
```

Results
**N(E_F)**: 6.21 states/eV per cell

---

*ii*
The following is a DFT calculation (PBE+U) of crystalline FePb3O at its relaxed geometry.

```
FePb3O
1.0
4.947 0.000 0.000
0.000 4.947 0.000
0.000 0.000 4.947
Fe Pb O
1 3 1
Direct
0.000 0.000 0.000
0.000 0.000 0.500
0.000 0.500 0.000
0.500 0.000 0.000
0.500 0.500 0.500
```

Results
**N(E_F)**: 0.00 states/eV per cell

---

Verdict on stability: *i* comes out on top.